Density functional theory data (PBE-GGA) for crystalline Rb2VI7 at its relaxed geometry.

Structure (POSCAR):
```
Rb2VI7
1.0
-4.819 -3.167 -7.164
7.507 0.533 -5.286
2.774 -6.828 -4.750
I Rb V
7 2 1
direct
0.000 0.000 0.000
0.252 0.252 0.496
0.748 0.748 0.504
0.291 0.291 0.000
0.709 0.709 0.000
0.709 0.291 0.000
0.291 0.709 0.000
0.750 0.250 0.500
0.250 0.750 0.500
0.500 0.500 0.000
```

Calculated values
Fermi-level density of states ... 0.862 states/eV per atom
Crystal system ... tetragonal
Space group ... I4/mmm (139)
E ... -0.1042 Ha/atom